Entry 1:
A geometry-optimized LiCd2SbS4 structure, computed with PBE.

Lattice parameters (Å, degrees): 5.912 5.912 7.279 113.91 113.91 90.08
Element x y z (fractional)
S  0.389  0.859  0.249
S  0.140  0.140  0.751
Cd  0.750  0.250  0.500
S  0.611  0.611  0.751
Li  0.500  0.500  0.000
Cd  0.250  0.750  0.500
Sb  0.000  0.000  0.001
S  0.859  0.389  0.249

Computed properties:
uncorrected formation energy: -0.57 eV per atom
crystal system: orthorhombic

Entry 2:
A geometry-optimized NdSm3 structure, computed with PBE.

Lattice parameters (Å, degrees): 7.380 7.380 5.857 90.00 90.00 120.00
Element x y z (fractional)
Sm  0.333  0.166  0.750
Nd  0.333  0.667  0.750
Sm  0.166  0.333  0.250
Sm  0.834  0.166  0.750
Sm  0.834  0.667  0.750
Sm  0.667  0.834  0.250
Nd  0.667  0.333  0.250
Sm  0.166  0.834  0.250

Computed properties:
ΔE to the lowest computed polymorph: 0.05 eV/f.u.
crystal system: hexagonal
ΔE_f: 10 kJ/mol of formula units

Entry 3:
A geometry-optimized LaTh2Re structure, computed with PBE.

Lattice parameters (Å, degrees): 3.570 3.570 8.669 90.00 90.00 90.00
Element x y z (fractional)
Re  0.500  0.500  0.000
La  0.500  0.500  0.500
Th  0.000  0.000  0.205
Th  0.000  0.000  0.795

Computed properties:
ΔE to the lowest computed polymorph: 0.00 eV/f.u.
crystal system: tetragonal
ΔE_f: 42 kJ/mol of formula units

Entry 4:
A geometry-optimized YPbF2 structure, computed with PBE.

Lattice parameters (Å, degrees): 8.876 8.876 8.876 22.87 22.87 22.87
Element x y z (fractional)
F  0.082  0.082  0.082
Y  0.000  0.000  0.000
F  0.918  0.918  0.918
Pb  0.500  0.500  0.500

Computed properties:
ΔE to the lowest computed polymorph: 1.31 eV/f.u.
uncorrected formation energy: -1.96 eV per atom
crystal system: trigonal

Entry 5:
A geometry-optimized Ga3MoCl structure, computed with PBE.

Lattice parameters (Å, degrees): 5.041 5.041 5.041 90.00 90.00 90.00
Element x y z (fractional)
Ga  0.000  0.500  0.000
Cl  0.000  0.000  0.000
Mo  0.500  0.500  0.500
Ga  0.000  0.000  0.500
Ga  0.500  0.000  0.000

Computed properties:
ΔE to the lowest computed polymorph: 3.25 eV/f.u.
uncorrected formation energy: 1.01 eV per atom
crystal system: cubic

Entry 6:
A geometry-optimized CaMgTcH2 structure, computed with PBE.

Lattice parameters (Å, degrees): 3.247 4.695 5.131 62.87 88.23 89.85
Element x y z (fractional)
Tc  0.318  0.944  0.366
H  0.386  0.704  0.730
Ca  0.868  0.604  0.057
Mg  0.415  0.283  0.682
H  0.821  0.047  0.177

Computed properties:
ΔE to the lowest computed polymorph: 0.63 eV/f.u.
crystal system: triclinic

Entry 7:
A geometry-optimized RbBa2SnH structure, computed with PBE.

Lattice parameters (Å, degrees): 5.719 5.719 5.353 90.00 90.00 90.00
Element x y z (fractional)
H  0.000  0.000  0.000
Sn  0.500  0.500  0.500
Ba  0.000  0.500  0.000
Ba  0.500  0.000  0.000
Rb  0.000  0.000  0.500

Computed properties:
crystal system: tetragonal

Entry 8:
A geometry-optimized OsOF5 structure, computed with PBE.

Lattice parameters (Å, degrees): 5.190 8.926 9.729 90.00 90.00 90.00
Element x y z (fractional)
F  0.560  0.398  0.262
F  0.740  0.601  0.518
F  0.740  0.899  0.518
F  0.060  0.602  0.238
F  0.260  0.101  0.482
F  0.940  0.398  0.762
F  0.440  0.898  0.738
O  0.198  0.750  0.014
F  0.364  0.250  0.769
F  0.060  0.898  0.238
F  0.260  0.399  0.482
Os  0.564  0.750  0.618
F  0.240  0.101  0.982
F  0.940  0.102  0.762
F  0.440  0.602  0.738
F  0.240  0.399  0.982
O  0.302  0.750  0.514
F  0.760  0.899  0.018
Os  0.436  0.250  0.382
F  0.560  0.102  0.262
O  0.802  0.250  0.986
F  0.864  0.750  0.731
F  0.136  0.250  0.269
F  0.760  0.601  0.018
Os  0.936  0.750  0.118
Os  0.064  0.250  0.882
F  0.636  0.750  0.231
O  0.698  0.250  0.486

Computed properties:
uncorrected formation energy: -1.60 eV per atom
crystal system: orthorhombic

Entry 9:
A geometry-optimized Ca2DyGa3Pt4 structure, computed with PBE.

Lattice parameters (Å, degrees): 4.218 4.218 11.521 90.00 90.00 90.00
Element x y z (fractional)
Ga  0.000  0.500  0.127
Ca  0.500  0.000  0.230
Dy  0.500  0.500  0.500
Ga  0.500  0.000  0.873
Ga  0.000  0.000  0.500
Pt  0.000  0.000  0.000
Pt  0.500  0.500  0.000
Pt  0.000  0.500  0.344
Ca  0.000  0.500  0.770
Pt  0.500  0.000  0.656

Computed properties:
crystal system: tetragonal
ΔE_f: -882 kJ/mol of formula units

Entry 10:
A geometry-optimized Ac6Sn5Ru structure, computed with PBE.

Lattice parameters (Å, degrees): 7.743 9.287 7.748 53.18 81.44 75.63
Element x y z (fractional)
Ru  0.000  0.000  0.000
Sn  0.500  0.777  0.446
Ac  0.726  0.817  0.000
Ac  0.274  0.183  0.000
Ac  0.789  0.043  0.322
Sn  0.500  0.223  0.554
Ac  0.789  0.365  0.678
Sn  0.000  0.382  0.235
Ac  0.211  0.635  0.322
Sn  0.000  0.618  0.765
Sn  0.500  0.500  0.000
Ac  0.211  0.957  0.678

Computed properties:
crystal system: monoclinic
ΔE_f: -523 kJ/mol of formula units

Entry 11:
A geometry-optimized InGeCl3 structure, computed with PBE.

Lattice parameters (Å, degrees): 5.720 7.145 8.247 90.01 88.67 89.99
Element x y z (fractional)
Cl  0.057  0.760  0.566
Cl  0.057  0.587  0.066
Cl  0.193  0.114  0.169
Cl  0.731  0.994  0.868
Ge  0.136  0.407  0.305
In  0.738  0.913  0.248
In  0.738  0.434  0.748
Cl  0.731  0.353  0.368
Ge  0.136  0.939  0.805
Cl  0.193  0.233  0.669

Computed properties:
uncorrected formation energy: -0.80 eV per atom
crystal system: monoclinic

Entry 12:
A geometry-optimized CaTbPd6 structure, computed with PBE.

Lattice parameters (Å, degrees): 5.281 5.281 5.281 90.00 90.00 90.00
Element x y z (fractional)
Pd  0.500  0.250  0.000
Pd  0.750  0.000  0.500
Pd  0.000  0.500  0.750
Pd  0.250  0.000  0.500
Tb  0.000  0.000  0.000
Pd  0.500  0.750  0.000
Ca  0.500  0.500  0.500
Pd  0.000  0.500  0.250

Computed properties:
ΔE to the lowest computed polymorph: 1.42 eV/f.u.
crystal system: cubic
ΔE_f: -371 kJ/mol of formula units

Entry 13:
A geometry-optimized PrMg11Ru structure, computed with PBE.

Lattice parameters (Å, degrees): 5.691 7.717 7.728 82.30 68.40 68.67
Element x y z (fractional)
Mg  0.000  0.500  0.000
Mg  0.500  0.000  0.500
Mg  0.492  0.776  0.205
Ru  0.500  0.500  0.000
Mg  0.633  0.364  0.332
Mg  0.000  0.000  0.500
Mg  0.697  0.776  0.795
Mg  0.508  0.224  0.795
Mg  0.367  0.636  0.668
Mg  0.035  0.636  0.332
Mg  0.965  0.364  0.668
Pr  0.000  0.000  0.000
Mg  0.303  0.224  0.205

Computed properties:
crystal system: monoclinic
ΔE_f: -68 kJ/mol of formula units

Entry 14:
A geometry-optimized Al2InAs structure, computed with PBE.

Lattice parameters (Å, degrees): 5.151 5.974 3.032 76.04 89.89 115.36
Element x y z (fractional)
In  0.500  0.500  0.000
Al  0.500  0.000  0.500
Al  0.000  0.000  0.000
As  0.000  0.500  0.500

Computed properties:
ΔE to the lowest computed polymorph: 0.85 eV/f.u.
crystal system: triclinic
ΔE_f: 73 kJ/mol of formula units

Entry 15:
A geometry-optimized TlGaHg2 structure, computed with PBE.

Lattice parameters (Å, degrees): 4.417 4.417 11.569 78.99 78.99 90.00
Element x y z (fractional)
Hg  0.136  0.625  0.250
Hg  0.614  0.125  0.250
Tl  0.000  0.000  0.000
Tl  0.750  0.250  0.500
Ga  0.500  0.500  0.000
Hg  0.375  0.386  0.750
Hg  0.875  0.864  0.750
Ga  0.250  0.750  0.500

Computed properties:
crystal system: tetragonal
ΔE_f: 35 kJ/mol of formula units

Entry 16:
A geometry-optimized CsAl2Ni structure, computed with PBE.

Lattice parameters (Å, degrees): 5.081 5.081 5.081 60.00 60.00 60.00
Element x y z (fractional)
Cs  0.500  0.500  0.500
Al  0.250  0.250  0.250
Ni  0.000  0.000  0.000
Al  0.750  0.750  0.750

Computed properties:
crystal system: cubic
ΔE_f: 355 kJ/mol of formula units

Entry 17:
A geometry-optimized Ge2IBr4 structure, computed with PBE.

Lattice parameters (Å, degrees): 10.136 8.772 9.497 127.59 119.28 72.02
Element x y z (fractional)
Ge  0.603  0.364  0.713
Ge  0.234  0.493  0.893
Br  0.765  0.009  0.631
Br  0.405  0.684  0.764
Br  0.438  0.239  0.774
Br  0.444  0.182  0.345
I  0.150  0.283  0.944
Ge  0.621  0.853  0.275
Ge  0.654  0.322  0.284
Br  0.812  0.025  0.231
I  0.113  0.583  0.505
Br  0.820  0.479  0.233
Br  0.414  0.710  0.264
Br  0.779  0.524  0.644

Computed properties:
uncorrected formation energy: -0.42 eV per atom
crystal system: triclinic

Entry 18:
A geometry-optimized KSb2Rh structure, computed with PBE.

Lattice parameters (Å, degrees): 9.493 9.493 9.493 159.42 159.68 29.08
Element x y z (fractional)
Sb  0.774  0.274  0.500
Sb  0.086  0.086  0.000
Rh  0.198  0.698  0.500
K  0.441  0.441  0.000

Computed properties:
ΔE to the lowest computed polymorph: 0.53 eV/f.u.
uncorrected formation energy: -0.27 eV per atom
crystal system: orthorhombic

Entry 19:
A geometry-optimized Tb3Er3Cd structure, computed with PBE.

Lattice parameters (Å, degrees): 5.493 9.352 9.353 120.00 90.00 90.00
Element x y z (fractional)
Er  0.250  0.939  0.760
Tb  0.750  0.477  0.371
Tb  0.750  0.894  0.523
Er  0.750  0.061  0.240
Tb  0.250  0.106  0.477
Cd  0.250  0.667  0.333
Tb  0.750  0.629  0.107
Er  0.250  0.821  0.061
Tb  0.250  0.523  0.629
Er  0.250  0.240  0.179
Er  0.750  0.760  0.821
Tb  0.250  0.371  0.893
Er  0.750  0.179  0.939
Cd  0.750  0.333  0.667

Computed properties:
crystal system: hexagonal
ΔE_f: -25 kJ/mol of formula units

Entry 20:
A geometry-optimized TaCo7Ge2As2 structure, computed with PBE.

Lattice parameters (Å, degrees): 3.501 3.501 14.101 85.77 85.77 90.69
Element x y z (fractional)
As  0.424  0.424  0.247
As  0.576  0.576  0.753
Co  0.958  0.459  0.136
Ge  0.142  0.142  0.578
Co  0.042  0.541  0.864
Co  0.627  0.627  0.587
Co  0.459  0.958  0.136
Co  0.500  0.500  0.000
Co  0.373  0.373  0.413
Ge  0.858  0.858  0.422
Ta  0.000  0.000  0.000
Co  0.541  0.042  0.864

Computed properties:
crystal system: monoclinic
ΔE_f: -78 kJ/mol of formula units

Entry 21:
A geometry-optimized BeFe structure, computed with PBE.

Lattice parameters (Å, degrees): 5.518 6.723 8.489 90.00 90.00 90.00
Element x y z (fractional)
Fe  0.000  0.194  0.500
Be  0.568  0.750  0.750
Fe  0.500  0.194  0.000
Fe  0.000  0.306  0.000
Fe  0.750  0.056  0.750
Fe  0.500  0.694  0.500
Be  0.568  0.250  0.250
Be  0.818  0.500  0.500
Be  0.682  0.000  0.500
Fe  0.250  0.556  0.750
Fe  0.250  0.444  0.250
Fe  0.500  0.806  0.000
Fe  0.750  0.444  0.750
Be  0.682  0.500  0.000
Be  0.818  0.000  0.000
Fe  0.750  0.556  0.250
Be  0.932  0.250  0.250
Fe  0.750  0.944  0.250
Be  0.432  0.250  0.750
Fe  0.250  0.056  0.250
Fe  0.250  0.944  0.750
Be  0.318  0.500  0.000
Be  0.318  0.000  0.500
Fe  0.000  0.694  0.000
Fe  0.000  0.806  0.500
Be  0.182  0.500  0.500
Be  0.182  0.000  0.000
Be  0.932  0.750  0.750
Be  0.068  0.250  0.750
Be  0.432  0.750  0.250
Fe  0.500  0.306  0.500
Be  0.068  0.750  0.250

Computed properties:
crystal system: orthorhombic
ΔE_f: 28 kJ/mol of formula units

Entry 22:
A geometry-optimized ReC structure, computed with PBE.

Lattice parameters (Å, degrees): 3.264 3.264 9.447 90.00 90.00 120.00
Element x y z (fractional)
C  0.000  0.000  0.250
C  0.000  0.000  0.750
Re  0.667  0.333  0.614
C  0.667  0.333  0.250
Re  0.333  0.667  0.114
Re  0.333  0.667  0.386
Re  0.667  0.333  0.886
C  0.333  0.667  0.750

Computed properties:
ΔE to the lowest computed polymorph: 3.26 eV/f.u.
crystal system: hexagonal
ΔE_f: 361 kJ/mol of formula units

In order of appearance, raw total energy = -28.941 -18.818 -31.776 -21.769 -16.733 -20.684 -13.848 -36.725 -50.989 -59.360 -16.904 -41.634 -32.297 -14.113 -5.636 -10.439 -20.399 -17.770 -28.758 -80.935 -11.894 -17.929 eV per formula unit.